## TaHgTe2 (GGA-PBE)

Data for a geometry-optimized TaHgTe2 structure.

Calculated values
For the theoretical density, the calculation gives 8461 kg/m³. The calculation puts the total energy at -4.841 eV/atom. The calculation puts the uncorrected formation energy at -0.2312 eV per atom. Its space-group type is No. 156.

Cell: 3.6746 3.6746 10.6872 Å, 90.00 90.00 120.00°
Last column: nearest neighbours and their distance in Å.
Atoms (fractional coordinates):
Te 0.3333 0.6667 0.8230  3 Ta 2.81
Te 0.6667 0.3333 0.1672  3 Ta 2.81
Hg 0.3333 0.6667 0.4699  6 Hg 3.67, 4 Te 3.77-3.87
Ta 0.0000 0.0000 0.9950  6 Te 2.81